No. 1
Density functional theory data (GGA-PBE) for crystalline AlCuNiAg at its relaxed geometry.

Unit cell a=4.2509 b=4.2509 c=4.2509 alpha=60.00 beta=60.00 gamma=60.00
With the nearest neighbours (Å) after each atom.
Fractional coordinates of all 4 atoms:
Ag 0.5000 0.5000 0.5000  4 Cu 2.60, 4 Ni 2.60
Al 0.0000 0.0000 0.0000  4 Ni 2.60, 4 Cu 2.60
Cu 0.7500 0.7500 0.7500  4 Ag 2.60, 4 Al 2.60
Ni 0.2500 0.2500 0.2500  4 Al 2.60, 4 Ag 2.60

Summary:
offset from the most stable computed form	0.0	kJ/mol of atoms
total magnetic moment	0.00	μB/cell
electronic total energy	-4.09	eV/atom

=====

No. 2
Density functional theory data (GGA-PBE) for crystalline AlCuReAg at its relaxed geometry.

Unit cell a=4.4050 b=4.4050 c=4.4050 alpha=60.00 beta=60.00 gamma=60.00
With the nearest neighbours (Å) after each atom.
Fractional coordinates of all 4 atoms:
Ag 0.5000 0.5000 0.5000  4 Cu 2.70, 4 Re 2.70
Al 0.0000 0.0000 0.0000  4 Cu 2.70, 4 Re 2.70
Cu 0.7500 0.7500 0.7500  4 Al 2.70, 4 Ag 2.70
Re 0.2500 0.2500 0.2500  4 Ag 2.70, 4 Al 2.70

Summary:
offset from the most stable computed form	0.0	kJ/mol of atoms
total magnetic moment	1.19	μB/cell
electronic total energy	-5.22	eV/atom

=====

- Number 2 is which compound?
  AlCuReAg

=====

- Which value of total magnetic moment does entry 1 give?
  0.00 μB/cell

=====

- Number 1 is which compound?
  AlCuNiAg